Density functional theory data (GGA+U) for an optimized crystal structure of CrRhF2.

POSCAR file:
```
CrRhF2
1.0
-2.4604 5.6554 0.2971
-1.3329 -0.2635 -6.0232
-4.4811 1.5389 -2.2405
F Rh Cr
4 2 2
Direct
0.8750 0.8161 0.7500
0.3750 0.4339 0.7500
0.1839 0.6250 0.2500
0.5661 0.1250 0.2500
0.0000 0.0000 0.0000
0.7500 0.2500 0.5000
0.5000 0.5000 0.0000
0.2500 0.7500 0.5000
```

Summary:
The energy above the most stable polymorph in this dataset comes out at 10 meV/atom. As for the density of states at the Fermi level: 5.64 states/eV per cell. For the total energy, the calculation gives -5.406 eV per atom. Its space group is I-42d.